# Zn2AsPb (meta-GGA SCAN, single point on PBEsol structure)
# ΔH_f (0 K) in meV/atom: 251
# E in eV per atom: -30.50
data_Zn2AsPb
_chemical_formula_sum 'Zn2 As1 Pb1'
_space_group_name_H-M_alt 'P 1'
_space_group_IT_number 1
_cell_length_a 3.335
_cell_length_b 3.624
_cell_length_c 6.557
_cell_angle_alpha 90.00
_cell_angle_beta 90.00
_cell_angle_gamma 90.00
loop_
_space_group_symop_operation_xyz
'x,y,z'
loop_
_atom_site_label
_atom_site_type_symbol
_atom_site_fract_x
_atom_site_fract_y
_atom_site_fract_z
Zn1 Zn 0.000 0.000 0.198
Zn2 Zn 0.000 0.000 0.802
As1 As 0.500 0.500 0.000
Pb1 Pb 0.500 0.500 0.500